Entry 1:
DFT (PBE) results for an optimized crystal structure of InH6Ir2Pb.

Unit cell a=7.1568 b=7.1568 c=5.5263 alpha=102.18 beta=102.18 gamma=114.62
With the nearest neighbours (Å) after each atom.
Positions (direct):
In 0.2159 0.7841 0.7500  2 H 2.28
In 0.7841 0.2159 0.2500  2 H 2.28
H 0.0204 0.8770 0.4630  1 Ir 1.61
H 0.0295 0.3900 0.8142  1 Ir 1.61
H 0.1230 0.9796 0.0370  1 Ir 1.61
H 0.2219 0.2298 0.3423  2 Ir 1.76-1.89, 1 H 1.93
H 0.2298 0.2219 0.8423  2 Ir 1.76-1.89, 1 H 1.93
H 0.3900 0.0295 0.3142  1 Ir 1.61
H 0.6100 0.9705 0.6858  1 Ir 1.61
H 0.7702 0.7781 0.1577  2 Ir 1.76-1.89, 1 H 1.93
H 0.7781 0.7702 0.6577  2 Ir 1.76-1.89, 1 H 1.93
H 0.8770 0.0204 0.9630  1 Ir 1.61
H 0.9705 0.6100 0.1858  1 Ir 1.61
H 0.9796 0.1230 0.5370  1 Ir 1.61
Ir 0.1797 0.3682 0.6419  3 H 1.61-1.76
Ir 0.3682 0.1797 0.1419  3 H 1.61-1.76
Ir 0.6318 0.8203 0.8581  3 H 1.61-1.76
Ir 0.8203 0.6318 0.3581  3 H 1.61-1.76
Pb 0.3901 0.6099 0.2500  8 H 2.69-2.95, 2 Ir 2.94
Pb 0.6099 0.3901 0.7500  8 H 2.69-2.95, 2 Ir 2.94

Summary:
The total energy comes out at -4.356 eV/atom. The value obtained for the calculated density is 10.0 g/cm3.

Entry 2:
DFT (PBE) results for an optimized crystal structure of PmInH6Ir2.

Unit cell a=6.7109 b=6.7109 c=5.6481 alpha=101.08 beta=101.08 gamma=112.39
With the nearest neighbours (Å) after each atom.
Positions (direct):
Pm 0.1356 0.8644 0.7500  8 H 2.44-2.53
Pm 0.8644 0.1356 0.2500  8 H 2.44-2.53
In 0.3152 0.6848 0.2500  2 H 2.18
In 0.6848 0.3152 0.7500  2 H 2.18
H 0.0596 0.4554 0.6323  1 Ir 1.69, 1 H 1.87
H 0.1972 0.2087 0.0860  2 Ir 1.80-1.90
H 0.2087 0.1972 0.5860  2 Ir 1.80-1.90
H 0.3652 0.5098 0.9145  1 Ir 1.64
H 0.4554 0.0596 0.1323  1 Ir 1.69, 1 H 1.87
H 0.4902 0.6348 0.5855  1 Ir 1.64
H 0.5098 0.3652 0.4145  1 Ir 1.64
H 0.5446 0.9404 0.8677  1 Ir 1.69, 1 H 1.87
H 0.6348 0.4902 0.0855  1 Ir 1.64
H 0.7913 0.8028 0.4140  2 Ir 1.80-1.90
H 0.8028 0.7913 0.9140  2 Ir 1.80-1.90
H 0.9404 0.5446 0.3677  1 Ir 1.69, 1 H 1.87
Ir 0.1042 0.3181 0.8427  3 H 1.64-1.80
Ir 0.3181 0.1042 0.3427  3 H 1.64-1.80
Ir 0.6819 0.8958 0.6573  3 H 1.64-1.80
Ir 0.8958 0.6819 0.1573  3 H 1.64-1.80

Summary:
The total energy comes out at -4.789 eV/atom. The value obtained for the calculated density is 9.8 g/cm3.

Entry 3:
DFT (PBE) results for an optimized crystal structure of PmInH8Ir2.

Unit cell a=4.9469 b=4.9469 c=6.1016 alpha=108.62 beta=108.62 gamma=55.23
With the nearest neighbours (Å) after each atom.
Positions (direct):
Pm 0.0000 0.0000 0.0000  14 H 2.45-2.66
In 0.5000 0.5000 0.5000  10 H 2.33-2.49
H 0.0293 0.5503 0.1716  1 Ir 1.65
H 0.0774 0.0774 0.4416  1 Ir 1.62, 1 H 1.75
H 0.4497 0.4497 0.8503  1 Ir 1.70, 1 H 1.72
H 0.4497 0.9707 0.8284  1 Ir 1.65
H 0.5503 0.0293 0.1716  1 Ir 1.65
H 0.5503 0.5503 0.1497  1 Ir 1.70, 1 H 1.72
H 0.9226 0.9226 0.5584  1 Ir 1.62, 1 H 1.75
H 0.9707 0.4497 0.8284  1 Ir 1.65
Ir 0.2531 0.2531 0.6560  4 H 1.62-1.70
Ir 0.7469 0.7469 0.3440  4 H 1.62-1.70

Summary:
The total energy comes out at -4.526 eV/atom. The value obtained for the calculated density is 9.5 g/cm3.